(1)
Entry from the Alexandria database: Os2PtSe after structural relaxation (PBE-GGA).

```
Os2PtSe
1.0
-1.590 -0.382 -4.369
0.820 -4.457 1.106
-2.678 -0.246 0.996
Os Pt Se
2 1 1
Cartesian
0.000 0.000 0.000
-0.385 -2.420 -1.631
-2.134 -0.314 -1.687
-0.929 -2.351 1.051
```

Results
symmetry	Cmmm, No. 65
DOS at the Fermi energy	1.038	states/eV/atom
E_tot	-7.297	eV/atom

=====

(2)
Entry from the Alexandria database: NaCe2Pb3 after structural relaxation (PBE-GGA).

```
NaCe2Pb3
1.0
-1.111 -1.954 -2.701
3.148 0.324 -1.529
4.463 -11.790 6.691
Na Ce Pb
1 2 3
Cartesian
3.250 -6.710 1.230
4.745 -10.661 3.473
1.754 -2.759 -1.012
0.000 0.000 0.000
2.978 -7.867 4.465
1.485 -3.923 2.226
```

Results
symmetry	P4/mmm, No. 123
DOS at the Fermi energy	2.354	states/eV/atom
energy above the lowest structure with this stoichiometry	0.04	eV/f.u.
ΔH_f (0 K)	-306	meV per atom

=====

(3)
Entry from the Alexandria database: K3RbRe after structural relaxation (PBE-GGA).

```
K3RbRe
1.0
7.513 0.000 0.000
0.000 7.513 0.000
0.000 0.000 7.513
Re K Rb
1 3 1
Cartesian
3.757 3.757 3.757
0.000 3.757 0.000
0.000 0.000 3.757
3.757 0.000 0.000
0.000 0.000 0.000
```

Results
symmetry	Pm-3m, No. 221
DOS at the Fermi energy	1.552	states/eV/atom
energy above the lowest structure with this stoichiometry	2.31	eV/f.u.
ΔH_f (0 K)	1717	meV per atom

=====

(4)
Entry from the Alexandria database: TmNp2O8 after structural relaxation (PBE-GGA).

```
TmNp2O8
1.0
0.104 3.171 3.465
-5.300 -3.326 3.202
5.880 -0.664 1.328
Tm Np O
1 2 8
Cartesian
5.880 -0.664 1.328
2.377 -0.827 3.074
-1.693 0.008 4.921
-2.170 -1.260 2.814
2.854 0.442 5.181
-3.187 -0.776 5.816
1.127 0.013 1.878
0.998 -1.846 3.915
3.871 -0.043 2.179
-0.443 -0.832 6.117
-0.314 1.027 4.080
```

Results
symmetry	C2/m, No. 12
DOS at the Fermi energy	0.532	states/eV/atom
E_tot	-9.153	eV/atom